The following is a DFT calculation (meta-GGA SCAN) of a crystal of Fe2RhW relaxed with PBEsol.

Cell lengths 3.693, 3.693, 3.575 Å; angles 90.00, 90.00, 90.00 degrees
Atoms (fractional coordinates):
Fe: 0.000 0.500 0.000
Fe: 0.500 0.000 0.000
Rh: 0.000 0.000 0.500
W: 0.500 0.500 0.500

Results
Symmetry: No. 123
Total magnetization, μB per formula unit: 2.82
Energy relative to the elements, eV/atom: 0.0518

The following is a DFT calculation (meta-GGA SCAN) of a crystal of K3Ag relaxed with PBEsol.

Cell lengths 4.558, 4.558, 11.847 Å; angles 90.00, 90.00, 120.00 degrees
Atoms (fractional coordinates):
K: 0.000 0.000 0.000
K: 0.333 0.667 0.323
K: 0.333 0.667 0.677
Ag: 0.000 0.000 0.500

Results
Symmetry: No. 187
Total magnetization, μB per formula unit: 0.03
Energy relative to the elements, eV/atom: 0.1045

The following is a DFT calculation (meta-GGA SCAN) of a crystal of MoS2 relaxed with PBEsol.

Cell lengths 6.468, 6.468, 6.468 Å; angles 28.09, 28.09, 28.09 degrees
Atoms (fractional coordinates):
Mo: 0.000 0.000 0.000
S: 0.250 0.250 0.250
S: 0.417 0.417 0.417

Results
Symmetry: No. 160
Total magnetization, μB per formula unit: 0.00
Energy relative to the elements, uncorrected, eV/atom: -0.936

The following is a DFT calculation (meta-GGA SCAN) of a crystal of Hg4As2O7 relaxed with PBEsol.

Cell lengths 9.981, 12.177, 7.408 Å; angles 90.00, 90.00, 90.00 degrees
Atoms (fractional coordinates):
Hg: 0.018 0.097 0.063
Hg: 0.018 0.403 0.063
Hg: 0.108 0.043 0.561
Hg: 0.108 0.457 0.561
Hg: 0.392 0.543 0.061
Hg: 0.392 0.957 0.061
Hg: 0.482 0.597 0.563
Hg: 0.482 0.903 0.563
Hg: 0.518 0.097 0.437
Hg: 0.518 0.403 0.437
Hg: 0.608 0.043 0.939
Hg: 0.608 0.457 0.939
Hg: 0.892 0.543 0.439
Hg: 0.892 0.957 0.439
Hg: 0.982 0.597 0.937
Hg: 0.982 0.903 0.937
As: 0.184 0.750 0.673
As: 0.246 0.250 0.772
As: 0.254 0.750 0.272
As: 0.316 0.250 0.173
As: 0.684 0.750 0.827
As: 0.746 0.250 0.728
As: 0.754 0.750 0.228
As: 0.816 0.250 0.327
O: 0.029 0.750 0.778
O: 0.093 0.250 0.870
O: 0.127 0.750 0.441
O: 0.221 0.633 0.151
O: 0.221 0.867 0.151
O: 0.240 0.128 0.206
O: 0.240 0.372 0.206
O: 0.260 0.628 0.706
O: 0.260 0.872 0.706
O: 0.279 0.133 0.651
O: 0.279 0.367 0.651
O: 0.373 0.250 0.941
O: 0.407 0.750 0.370
O: 0.471 0.250 0.278
O: 0.529 0.750 0.722
O: 0.593 0.250 0.630
O: 0.627 0.750 0.059
O: 0.721 0.633 0.349
O: 0.721 0.867 0.349
O: 0.740 0.128 0.294
O: 0.740 0.372 0.294
O: 0.760 0.628 0.794
O: 0.760 0.872 0.794
O: 0.779 0.133 0.849
O: 0.779 0.367 0.849
O: 0.873 0.250 0.559
O: 0.907 0.750 0.130
O: 0.971 0.250 0.222

Results
Symmetry: No. 62
Total magnetization, μB per formula unit: 0.00
Energy relative to the elements, uncorrected, eV/atom: -0.872

The following is a DFT calculation (meta-GGA SCAN) of a crystal of LaMo2Ir relaxed with PBEsol.

Cell lengths 2.798, 3.756, 7.174 Å; angles 90.00, 90.00, 90.00 degrees
Atoms (fractional coordinates):
La: 0.000 0.000 0.000
Mo: 0.500 0.500 0.319
Mo: 0.500 0.500 0.681
Ir: 0.000 0.000 0.500

Results
Symmetry: No. 47
Total magnetization, μB per formula unit: 0.00
Energy relative to the elements, eV/atom: 0.2883

The following is a DFT calculation (meta-GGA SCAN) of a crystal of ZrTa2Ru relaxed with PBEsol.

Cell lengths 2.944, 4.518, 5.297 Å; angles 90.00, 102.29, 90.00 degrees
Atoms (fractional coordinates):
Zr: 0.000 0.000 0.000
Ta: 0.269 0.500 0.742
Ta: 0.731 0.500 0.258
Ru: 0.500 0.000 0.500

Results
Symmetry: No. 10
Total magnetization, μB per formula unit: 0.00
Energy relative to the elements, eV/atom: -0.1581

The following is a DFT calculation (meta-GGA SCAN) of a crystal of As3Rh relaxed with PBEsol.

Cell lengths 2.978, 2.978, 8.921 Å; angles 90.00, 90.00, 120.00 degrees
Atoms (fractional coordinates):
As: 0.000 0.000 0.000
As: 0.667 0.333 0.288
As: 0.667 0.333 0.712
Rh: 0.000 0.000 0.500

Results
Symmetry: No. 187
Total magnetization, μB per formula unit: 0.00
Energy relative to the elements, eV/atom: 0.0931

The following is a DFT calculation (meta-GGA SCAN) of a crystal of Li2Pb relaxed with PBEsol.

Cell lengths 4.860, 4.860, 3.180 Å; angles 90.00, 90.00, 90.00 degrees
Atoms (fractional coordinates):
Li: 0.000 0.500 0.000
Li: 0.500 0.000 0.000
Pb: 0.000 0.000 0.500

Results
Symmetry: No. 123
Total magnetization, μB per formula unit: 0.00
Energy relative to the elements, eV/atom: -0.3005

The following is a DFT calculation (meta-GGA SCAN) of a crystal of LaMg2Ir2 relaxed with PBEsol.

Cell lengths 6.592, 6.592, 6.592 Å; angles 143.40, 143.40, 52.72 degrees
Atoms (fractional coordinates):
La: 0.000 0.000 0.000
Mg: 0.250 0.750 0.500
Mg: 0.750 0.250 0.500
Ir: 0.395 0.395 0.000
Ir: 0.605 0.605 0.000

Results
Symmetry: No. 139
Total magnetization, μB per formula unit: 0.00
Energy relative to the elements, eV/atom: -0.6071

The following is a DFT calculation (meta-GGA SCAN) of a crystal of PdPtN2O relaxed with PBEsol.

Cell lengths 3.842, 3.842, 3.879 Å; angles 90.00, 90.00, 90.00 degrees
Atoms (fractional coordinates):
Pd: 0.000 0.000 0.000
Pt: 0.500 0.500 0.500
N: 0.000 0.500 0.000
N: 0.500 0.000 0.000
O: 0.000 0.000 0.500

Results
Symmetry: No. 123
Total magnetization, μB per formula unit: 3.32
Energy relative to the elements, uncorrected, eV/atom: 1.761

The following is a DFT calculation (meta-GGA SCAN) of a crystal of Tc2OsSe relaxed with PBEsol.

Cell lengths 2.709, 2.709, 9.281 Å; angles 90.00, 90.00, 117.68 degrees
Atoms (fractional coordinates):
Tc: 0.000 0.000 0.000
Tc: 0.500 0.500 0.237
Os: 0.000 0.000 0.473
Se: 0.500 0.500 0.754

Results
Symmetry: No. 35
Total magnetization, μB per formula unit: 0.00
Energy relative to the elements, uncorrected, eV/atom: 0.701

The following is a DFT calculation (meta-GGA SCAN) of a crystal of Y2Cd2Hg relaxed with PBEsol.

Cell lengths 7.335, 7.335, 7.335 Å; angles 143.82, 143.82, 52.09 degrees
Atoms (fractional coordinates):
Y: 0.250 0.750 0.500
Y: 0.750 0.250 0.500
Cd: 0.098 0.098 0.000
Cd: 0.902 0.902 0.000
Hg: 0.500 0.500 0.000

Results
Symmetry: No. 139
Total magnetization, μB per formula unit: 1.08
Energy relative to the elements, eV/atom: 0.1246

The following is a DFT calculation (meta-GGA SCAN) of a crystal of SrSiAs2Br relaxed with PBEsol.

Cell lengths 4.732, 4.732, 5.557 Å; angles 90.00, 90.00, 90.00 degrees
Atoms (fractional coordinates):
Sr: 0.000 0.000 0.000
Si: 0.500 0.500 0.500
As: 0.000 0.500 0.500
As: 0.500 0.000 0.500
Br: 0.500 0.500 0.000

Results
Symmetry: No. 123
Total magnetization, μB per formula unit: 0.00
Energy relative to the elements, uncorrected, eV/atom: -0.419

The following is a DFT calculation (meta-GGA SCAN) of a crystal of Ba2AsBr relaxed with PBEsol.

Cell lengths 3.980, 3.981, 8.201 Å; angles 90.00, 90.19, 90.00 degrees
Atoms (fractional coordinates):
Ba: 0.006 0.000 0.215
Ba: 0.994 0.000 0.785
As: 0.500 0.500 0.000
Br: 0.500 0.500 0.500

Results
Symmetry: No. 10
Total magnetization, μB per formula unit: 0.00
Energy relative to the elements, uncorrected, eV/atom: -1.635

The following is a DFT calculation (meta-GGA SCAN) of a crystal of ReRu2W relaxed with PBEsol.

Cell lengths 4.701, 4.701, 2.725 Å; angles 90.00, 90.00, 109.19 degrees
Atoms (fractional coordinates):
Re: 0.000 0.000 0.000
Ru: 0.000 0.500 0.500
Ru: 0.500 0.000 0.500
W: 0.500 0.500 0.000

Results
Symmetry: No. 65
Total magnetization, μB per formula unit: 0.00
Energy relative to the elements, eV/atom: 0.0246

The following is a DFT calculation (meta-GGA SCAN) of a crystal of Ir2RhCl relaxed with PBEsol.

Cell lengths 2.789, 3.545, 5.953 Å; angles 90.00, 90.00, 90.00 degrees
Atoms (fractional coordinates):
Ir: 0.000 0.000 0.228
Ir: 0.000 0.000 0.772
Rh: 0.500 0.500 0.000
Cl: 0.500 0.500 0.500

Results
Symmetry: No. 47
Total magnetization, μB per formula unit: 0.00
Energy relative to the elements, uncorrected, eV/atom: 0.820

The following is a DFT calculation (meta-GGA SCAN) of a crystal of HfScGe4 relaxed with PBEsol.

Cell lengths 3.754, 7.595, 7.595 Å; angles 28.95, 90.00, 90.00 degrees
Atoms (fractional coordinates):
Hf: 0.000 0.000 0.000
Sc: 0.500 0.206 0.206
Ge: 0.000 0.354 0.354
Ge: 0.000 0.664 0.664
Ge: 0.500 0.544 0.544
Ge: 0.500 0.854 0.854

Results
Symmetry: No. 38
Total magnetization, μB per formula unit: 0.00
Energy relative to the elements, eV/atom: -0.5873

The following is a DFT calculation (meta-GGA SCAN) of a crystal of NiAsP2 relaxed with PBEsol.

Cell lengths 5.169, 5.089, 3.510 Å; angles 71.23, 68.76, 40.00 degrees
Atoms (fractional coordinates):
Ni: 0.000 0.000 0.000
As: 0.500 0.500 0.500
P: 0.000 0.500 0.500
P: 0.500 0.000 0.000

Results
Symmetry: No. 69
Total magnetization, μB per formula unit: 0.00
Energy relative to the elements, eV/atom: 0.2058

The following is a DFT calculation (meta-GGA SCAN) of a crystal of GaNCl3 relaxed with PBEsol.

Cell lengths 4.742, 4.742, 4.742 Å; angles 90.00, 90.00, 90.00 degrees
Atoms (fractional coordinates):
Ga: 0.000 0.000 0.000
N: 0.500 0.500 0.500
Cl: 0.000 0.000 0.500
Cl: 0.000 0.500 0.000
Cl: 0.500 0.000 0.000

Results
Symmetry: No. 221
Total magnetization, μB per formula unit: 3.03
Energy relative to the elements, uncorrected, eV/atom: 0.232

The following is a DFT calculation (meta-GGA SCAN) of a crystal of CoRh2 relaxed with PBEsol.

Cell lengths 4.504, 2.629, 6.369 Å; angles 90.00, 90.39, 90.00 degrees
Atoms (fractional coordinates):
Co: 0.079 0.250 0.157
Co: 0.921 0.750 0.843
Rh: 0.245 0.750 0.494
Rh: 0.412 0.250 0.836
Rh: 0.588 0.750 0.164
Rh: 0.755 0.250 0.506

Results
Symmetry: No. 11
Total magnetization, μB per formula unit: 2.93
Energy relative to the elements, eV/atom: 0.0575

The following is a DFT calculation (meta-GGA SCAN) of a crystal of ZnAs2Pb relaxed with PBEsol.

Cell lengths 6.799, 6.799, 6.799 Å; angles 33.54, 33.54, 33.54 degrees
Atoms (fractional coordinates):
Zn: 0.000 0.000 0.000
As: 0.267 0.267 0.267
As: 0.733 0.733 0.733
Pb: 0.500 0.500 0.500

Results
Symmetry: No. 166
Total magnetization, μB per formula unit: 0.00
Energy relative to the elements, eV/atom: 0.0939

The following is a DFT calculation (meta-GGA SCAN) of a crystal of MnHg2Te relaxed with PBEsol.

Cell lengths 3.284, 3.284, 7.977 Å; angles 90.00, 90.00, 90.00 degrees
Atoms (fractional coordinates):
Mn: 0.000 0.000 0.000
Hg: 0.000 0.000 0.499
Hg: 0.500 0.500 0.769
Te: 0.500 0.500 0.174

Results
Symmetry: No. 99
Total magnetization, μB per formula unit: 3.88
Energy relative to the elements, uncorrected, eV/atom: 0.038

The following is a DFT calculation (meta-GGA SCAN) of a crystal of MnP2Ru relaxed with PBEsol.

Cell lengths 4.980, 4.980, 4.980 Å; angles 140.59, 140.59, 56.95 degrees
Atoms (fractional coordinates):
Mn: 0.000 0.000 0.000
P: 0.500 0.500 0.000
P: 0.750 0.250 0.500
Ru: 0.250 0.750 0.500

Results
Symmetry: No. 119
Total magnetization, μB per formula unit: 2.62
Energy relative to the elements, eV/atom: -0.0596

The following is a DFT calculation (meta-GGA SCAN) of a crystal of BaFeP2 relaxed with PBEsol.

Cell lengths 5.178, 5.178, 5.178 Å; angles 136.82, 105.47, 90.23 degrees
Atoms (fractional coordinates):
Ba: 0.000 0.000 0.000
Fe: 0.500 0.500 0.000
P: 0.350 0.850 0.500
P: 0.650 0.150 0.500

Results
Symmetry: No. 71
Total magnetization, μB per formula unit: 1.33
Energy relative to the elements, eV/atom: -0.4210

The following is a DFT calculation (meta-GGA SCAN) of a crystal of MgSO9 relaxed with PBEsol.

Cell lengths 5.183, 5.183, 5.183 Å; angles 94.40, 94.40, 94.40 degrees
Atoms (fractional coordinates):
Mg: 0.000 0.000 0.000
S: 0.500 0.500 0.500
O: 0.017 0.410 0.094
O: 0.094 0.017 0.410
O: 0.312 0.501 0.687
O: 0.410 0.094 0.017
O: 0.501 0.687 0.312
O: 0.590 0.983 0.906
O: 0.687 0.312 0.501
O: 0.906 0.590 0.983
O: 0.983 0.906 0.590

Results
Symmetry: No. 146
Total magnetization, μB per formula unit: 4.00
Energy relative to the elements, uncorrected, eV/atom: -0.718

The following is a DFT calculation (meta-GGA SCAN) of a crystal of Fe3SiS relaxed with PBEsol.

Cell lengths 4.071, 4.071, 4.071 Å; angles 90.00, 90.00, 90.00 degrees
Atoms (fractional coordinates):
Fe: 0.000 0.000 0.500
Fe: 0.000 0.500 0.000
Fe: 0.500 0.000 0.000
Si: 0.500 0.500 0.500
S: 0.000 0.000 0.000

Results
Symmetry: No. 221
Total magnetization, μB per formula unit: 6.38
Energy relative to the elements, uncorrected, eV/atom: 0.389

The following is a DFT calculation (meta-GGA SCAN) of a crystal of CoCuRh relaxed with PBEsol.

Cell lengths 5.478, 5.478, 5.478 Å; angles 152.16, 152.16, 39.78 degrees
Atoms (fractional coordinates):
Co: 0.000 0.000 0.000
Cu: 0.660 0.660 0.000
Rh: 0.338 0.338 0.000

Results
Symmetry: No. 107
Total magnetization, μB per formula unit: 2.71
Energy relative to the elements, eV/atom: 0.0890